First-principles (PBE-GGA) data for Cs2NaHgH after structural relaxation, as listed in Alexandria via LeMat-Bulk.

abc: 7.101 5.760 7.101
angles: 90.00 90.00 90.00
Atoms (fractional coordinates):
1 Cs 0.000 0.000 0.500
2 Na 0.000 0.500 0.000
3 H 0.500 0.500 0.500
4 Hg 0.000 0.000 0.000
5 Cs 0.500 0.000 0.000

Values from the calculation:
**Calculated density**: 2.80 Mg/m³
**Distance to the lowest polymorph of the same formula**: 265 meV/atom
**Spin magnetization**: 0.0 μB per formula unit
**Space-group type**: P4/mmm, No. 123

First-principles (PBE-GGA) data for LaMg16Al12 after structural relaxation, as listed in Alexandria via LeMat-Bulk.

abc: 9.180 9.180 9.180
angles: 109.47 109.47 109.47
Atoms (fractional coordinates):
1 Mg 0.603 0.603 0.283
2 Mg 0.603 0.283 0.603
3 Mg 0.717 0.319 0.319
4 Al 0.372 0.187 0.000
5 Al 0.628 0.815 0.628
6 Mg 0.635 0.000 0.000
7 Al 0.187 0.372 0.000
8 Mg 0.000 0.000 0.635
9 Mg 0.397 0.681 0.000
10 Mg 0.319 0.717 0.319
11 Mg 0.283 0.603 0.603
12 Mg 0.000 0.681 0.397
13 Al 0.813 0.185 0.813
14 Al 0.813 0.813 0.185
15 Mg 0.000 0.635 0.000
16 Al 0.187 0.000 0.372
17 Al 0.185 0.813 0.813
18 Mg 0.681 0.397 0.000
19 Al 0.815 0.628 0.628
20 Al 0.372 0.000 0.187
21 Mg 0.365 0.365 0.365
22 Al 0.000 0.372 0.187
23 Mg 0.397 0.000 0.681
24 Mg 0.319 0.319 0.717
25 La 0.000 0.000 0.000
26 Mg 0.000 0.397 0.681
27 Mg 0.681 0.000 0.397
28 Al 0.628 0.628 0.815
29 Al 0.000 0.187 0.372

Values from the calculation:
**Calculated density**: 2.37 Mg/m³
**Distance to the lowest polymorph of the same formula**: 0 meV/atom
**Energy of formation**: -7.0 kJ per mole of atoms
**Spin magnetization**: 0.0 μB per formula unit
**Space-group type**: I-43m, No. 217

First-principles (PBE-GGA) data for CePr2NdEr5 after structural relaxation, as listed in Alexandria via LeMat-Bulk.

abc: 8.669 8.669 9.904
angles: 115.95 115.95 90.00
Site moments in Bohr magnetons follow the coordinates.
Atoms (fractional coordinates):
1 Nd 0.250 0.250 0.500  0.00
2 Nd 0.750 0.750 0.500  0.00
3 Er 0.655 0.566 0.721  0.05
4 Er 0.000 0.000 0.000  -0.03
5 Er 0.934 0.845 0.279  0.05
6 Er 0.155 0.655 0.721  0.05
7 Er 0.345 0.434 0.279  0.05
8 Pr 0.880 0.380 0.000  -0.02
9 Er 0.434 0.934 0.279  0.05
10 Er 0.500 0.500 0.000  -0.03
11 Ce 0.750 0.250 0.500  0.78
12 Er 0.066 0.155 0.721  0.05
13 Er 0.845 0.345 0.279  0.05
14 Ce 0.250 0.750 0.500  0.78
15 Pr 0.620 0.880 0.000  -0.02
16 Pr 0.120 0.620 0.000  -0.02
17 Pr 0.380 0.120 0.000  -0.02
18 Er 0.566 0.066 0.721  0.05

Values from the calculation:
**Calculated density**: 7.97 Mg/m³
**Energy of formation**: 25.7 kJ per mole of atoms
**Spin magnetization**: 1.1 μB per formula unit
**Space-group type**: I4/mcm, No. 140

First-principles (PBE-GGA) data for Pm2Sm5Sc2 after structural relaxation, as listed in Alexandria via LeMat-Bulk.

abc: 3.595 10.171 9.450
angles: 57.95 79.03 79.82
Atoms (fractional coordinates):
1 Sm 0.664 0.006 0.665
2 Sm 0.000 0.000 0.000
3 Sc 0.482 0.332 0.704
4 Pm 0.860 0.655 0.626
5 Sc 0.518 0.668 0.296
6 Pm 0.140 0.345 0.374
7 Sm 0.183 0.668 0.965
8 Sm 0.336 0.994 0.335
9 Sm 0.817 0.332 0.035

Values from the calculation:
**Calculated density**: 6.56 Mg/m³
**Distance to the lowest polymorph of the same formula**: 0 meV/atom
**Energy of formation**: 3.0 kJ per mole of atoms
**Spin magnetization**: 0.0 μB per formula unit
**Space-group type**: C2/m, No. 12

First-principles (PBE-GGA) data for Te4Mo3 after structural relaxation, as listed in Alexandria via LeMat-Bulk.

abc: 7.163 7.163 7.163
angles: 92.09 92.09 92.09
Atoms (fractional coordinates):
1 Te 0.881 0.243 0.618
2 Te 0.757 0.382 0.119
3 Te 0.714 0.714 0.714
4 Mo 0.919 0.746 0.046
5 Mo 0.081 0.254 0.954
6 Te 0.286 0.286 0.286
7 Te 0.382 0.119 0.757
8 Te 0.243 0.618 0.881
9 Mo 0.954 0.081 0.254
10 Mo 0.046 0.919 0.746
11 Te 0.618 0.881 0.243
12 Mo 0.254 0.954 0.081
13 Te 0.119 0.757 0.382
14 Mo 0.746 0.046 0.919

Values from the calculation:
**Calculated density**: 7.23 Mg/m³
**Distance to the lowest polymorph of the same formula**: 0 meV/atom
**Formation energy without anion corrections**: -174 kJ/mol of formula units
**Spin magnetization**: 0.0 μB per formula unit
**Space-group type**: R-3, No. 148

First-principles (PBE-GGA) data for Ce2Mg3Tl3 after structural relaxation, as listed in Alexandria via LeMat-Bulk.

abc: 4.880 4.801 9.107
angles: 90.00 90.00 90.00
Site moments in Bohr magnetons follow the coordinates.
Atoms (fractional coordinates):
1 Ce 0.000 0.000 0.252  0.82
2 Mg 0.500 0.000 0.000  0.01
3 Ce 0.000 0.000 0.748  0.82
4 Tl 0.500 0.000 0.500  0.01
5 Mg 0.500 0.500 0.248  0.00
6 Tl 0.000 0.500 0.500  0.01
7 Tl 0.000 0.500 0.000  0.01
8 Mg 0.500 0.500 0.752  0.00

Values from the calculation:
**Calculated density**: 7.52 Mg/m³
**Distance to the lowest polymorph of the same formula**: 0 meV/atom
**Energy of formation**: -14.7 kJ per mole of atoms
**Spin magnetization**: 2.1 μB per formula unit
**Space-group type**: Pmmm, No. 47

First-principles (PBE-GGA) data for SrPr2Tm after structural relaxation, as listed in Alexandria via LeMat-Bulk.

abc: 3.738 3.738 12.608
angles: 81.47 81.47 60.00
Atoms (fractional coordinates):
1 Tm 0.667 0.667 0.000
2 Pr 0.257 0.257 0.228
3 Pr 0.076 0.076 0.772
4 Sr 0.500 0.500 0.500

Values from the calculation:
**Calculated density**: 5.95 Mg/m³
**Distance to the lowest polymorph of the same formula**: 0 meV/atom
**Energy of formation**: 9.1 kJ per mole of atoms
**Spin magnetization**: 0.0 μB per formula unit
**Space-group type**: R3m, No. 160

First-principles (PBE-GGA) data for Ce2DyReN5 after structural relaxation, as listed in Alexandria via LeMat-Bulk.

abc: 6.591 6.591 7.435
angles: 116.31 116.31 90.00
Atoms (fractional coordinates):
1 Dy 0.250 0.250 0.500
2 N 0.509 0.701 0.709
3 N 0.991 0.491 0.291
4 N 0.009 0.509 0.709
5 Ce 0.672 0.172 0.000
6 Ce 0.172 0.328 0.000
7 Re 0.250 0.750 0.500
8 Ce 0.828 0.672 0.000
9 N 0.000 0.000 0.000
10 N 0.491 0.299 0.291
11 N 0.299 0.799 0.291
12 N 0.799 0.991 0.291
13 N 0.701 0.201 0.709
14 N 0.201 0.009 0.709
15 Re 0.750 0.250 0.500
16 N 0.500 0.500 0.000
17 Ce 0.328 0.828 0.000
18 Dy 0.750 0.750 0.500

Values from the calculation:
**Calculated density**: 9.22 Mg/m³
**Formation energy without anion corrections**: -886 kJ/mol of formula units
**Spin magnetization**: 0.0 μB per formula unit
**Space-group type**: I4/mcm, No. 140

First-principles (PBE-GGA) data for La3Sm2Ag2 after structural relaxation, as listed in Alexandria via LeMat-Bulk.

abc: 4.725 3.551 12.627
angles: 90.00 79.22 90.00
Atoms (fractional coordinates):
1 La 0.866 0.000 0.268
2 La 0.000 0.000 0.000
3 La 0.134 0.000 0.732
4 Sm 0.293 0.500 0.413
5 Ag 0.569 0.500 0.862
6 Ag 0.431 0.500 0.138
7 Sm 0.707 0.500 0.587

Values from the calculation:
**Calculated density**: 7.45 Mg/m³
**Energy of formation**: 1.7 kJ per mole of atoms
**Spin magnetization**: 0.0 μB per formula unit
**Space-group type**: Cmmm, No. 65